Material: KZrTe3Pt
Method: DFT, GGA-PBE
State: optimized geometry

Computed properties:
- VASP energy: -4.98 eV/atom
- SG: No. 63
- M_tot: 0.0 μB per cell
- Density: 6.52 g/cm³

Unit cell a=8.6860 b=8.6860 c=10.6117 alpha=90.00 beta=90.00 gamma=153.20
Positions (direct):
K  0.2404  0.7596  0.7500
K  0.7596  0.2404  0.2500
Zr  0.0000  0.0000  0.0000
Zr  0.0000  0.0000  0.5000
Te  0.0787  0.9213  0.2500
Te  0.3768  0.6232  0.0530
Te  0.3768  0.6232  0.4470
Te  0.6232  0.3768  0.5530
Te  0.6232  0.3768  0.9470
Te  0.9213  0.0787  0.7500
Pt  0.4754  0.5246  0.2500
Pt  0.5246  0.4754  0.7500